Entry 1:
DFT (GGA-PBE) results for crystalline BaCuAu2 at its relaxed geometry.

As for the density of states at the Fermi level: 0.27 states/eV per atom. As for the uncorrected energy: -52.05 eV for the cell shown. The energy above the most stable polymorph in this dataset is 1.334 eV per formula unit. For the energy of formation from the pure elements, the calculation gives -110 meV/atom.

The space group is F-43m (No. 216) and the conventional cell measures 7.3063, 7.3063 and 7.3063 Å, with angles of 90.00, 90.00 and 90.00 degrees. Symmetry generates all atoms from Ba at (0.0000, 0.0000, 0.0000), Cu at (0.2500, 0.2500, 0.2500), Au at (0.0000, 0.0000, 0.5000) and Au at (0.2500, 0.2500, 0.7500).


Entry 2:
DFT (GGA-PBE) results for crystalline Tm3Si2GePt9 at its relaxed geometry.

As for the density of states at the Fermi level: 0.50 states/eV per atom. As for the uncorrected energy: -94.05 eV for the cell shown. The calculation puts the uncorrected formation energy at -69.5 kJ/mol of atoms.

The space group is P-3m1 (No. 164) and the conventional cell measures 6.4051, 6.4051 and 8.6894 Å, with angles of 90.00, 90.00 and 120.00 degrees. Symmetry generates all atoms from Tm at (0.0000, 0.0000, 0.0000), Tm at (0.3333, 0.6667, 0.7316), Si at (0.3333, 0.6667, 0.1865), Ge at (0.0000, 0.0000, 0.5000), Pt at (0.0000, 0.5000, 0.0000) and Pt at (0.1426, 0.2852, 0.2770).


Entry 3:
DFT (GGA-PBE) results for crystalline YZr2Os at its relaxed geometry.

As for the density of states at the Fermi level: 1.51 states/eV per atom. As for the uncorrected energy: -137.87 eV for the cell shown. The energy above the most stable polymorph in this dataset is 1.201 eV per formula unit. For the energy of formation from the pure elements, the calculation gives 81 meV/atom.

The space group is F-43m (No. 216) and the conventional cell measures 6.9516, 6.9516 and 6.9516 Å, with angles of 90.00, 90.00 and 90.00 degrees. Symmetry generates all atoms from Y at (0.0000, 0.0000, 0.0000), Zr at (0.0000, 0.0000, 0.5000), Zr at (0.2500, 0.2500, 0.2500) and Os at (0.2500, 0.2500, 0.7500).


Entry 4:
DFT (GGA-PBE) results for crystalline YHoMnCo at its relaxed geometry.

As for the density of states at the Fermi level: 0.95 states/eV per atom. As for the uncorrected energy: -108.16 eV for the cell shown. For the energy of formation from the pure elements, the calculation gives 69 meV/atom.

The space group is F-43m (No. 216) and the conventional cell measures 6.9080, 6.9080 and 6.9080 Å, with angles of 90.00, 90.00 and 90.00 degrees. Symmetry generates all atoms from Y at (0.0000, 0.0000, 0.0000), Ho at (0.0000, 0.0000, 0.5000), Mn at (0.2500, 0.2500, 0.7500) and Co at (0.2500, 0.2500, 0.2500).